1.
A geometry-optimized CdSbSe2 structure, computed with PBE.

Cell: 8.951 8.951 8.951 Å, 26.92 26.92 26.92°
Fractional coordinates of all 4 atoms:
Sb: 0.500 0.500 0.500
Se: 0.897 0.897 0.897
Se: 0.103 0.103 0.103
Cd: 0.000 0.000 0.000

The space group is No. 166. For the uncorrected formation energy, the calculation gives -0.08 eV per atom. The energy above the most stable polymorph in this dataset is 0.190 eV/atom.


2.
A geometry-optimized Sr2HfMgS5 structure, computed with PBE.

Cell: 3.937 8.664 12.981 Å, 90.00 90.00 103.13°
Fractional coordinates of all 18 atoms:
Sr: 0.870 0.739 0.804
Sr: 0.092 0.184 0.663
Sr: 0.130 0.261 0.304
Sr: 0.908 0.816 0.163
Hf: 0.779 0.558 0.525
Hf: 0.221 0.442 0.025
Mg: 0.555 0.110 0.947
Mg: 0.445 0.890 0.447
S: 0.367 0.734 0.995
S: 0.702 0.405 0.897
S: 0.499 0.999 0.778
S: 0.271 0.542 0.660
S: 0.930 0.861 0.555
S: 0.633 0.266 0.495
S: 0.298 0.595 0.397
S: 0.501 0.001 0.278
S: 0.729 0.458 0.160
S: 0.070 0.139 0.055

The space group is No. 36. For the uncorrected formation energy, the calculation gives -1.77 eV per atom.


3.
A geometry-optimized BaB2Pt2 structure, computed with PBE.

Cell: 7.626 7.626 3.123 Å, 90.00 90.00 90.00°
Fractional coordinates of all 10 atoms:
B: 0.414 0.914 0.000
B: 0.914 0.586 0.000
B: 0.586 0.086 0.000
B: 0.086 0.414 0.000
Ba: 0.000 0.000 0.000
Ba: 0.500 0.500 0.000
Pt: 0.124 0.624 0.500
Pt: 0.624 0.876 0.500
Pt: 0.876 0.376 0.500
Pt: 0.376 0.124 0.500

The space group is No. 127. The calculation puts the final energy at -0.1870 hartree per atom.


4.
A geometry-optimized ReSn3Te structure, computed with PBE.

Cell: 5.744 5.744 5.744 Å, 90.00 90.00 90.00°
Last column: magnetic moment on the atom in μB.
Fractional coordinates of all 5 atoms:
Re: 0.500 0.500 0.500  3.72
Te: 0.000 0.000 0.000  -0.01
Sn: 0.000 0.500 0.000  -0.07
Sn: 0.000 0.000 0.500  0.00
Sn: 0.500 0.000 0.000  -0.03

The space group is No. 221. For the uncorrected formation energy, the calculation gives 1.79 eV per atom. The energy above the most stable polymorph in this dataset is 1.537 eV/atom.


5.
A geometry-optimized BaNaAlSn2 structure, computed with PBE.

Cell: 4.921 4.921 7.131 Å, 110.18 110.18 90.00°
Fractional coordinates of all 5 atoms:
Ba: 0.000 0.000 0.000
Na: 0.250 0.750 0.500
Al: 0.750 0.250 0.500
Sn: 0.617 0.617 0.233
Sn: 0.383 0.383 0.767

The space group is No. 119. The calculation puts the final energy at -0.1212 hartree per atom.


6.
A geometry-optimized CuBi3S4 structure, computed with PBE.

Cell: 5.940 8.632 8.527 Å, 90.00 90.00 90.00°
Fractional coordinates of all 16 atoms:
Cu: 0.003 0.195 0.000
Cu: 0.503 0.805 0.500
Bi: 0.546 0.904 0.000
Bi: 0.028 0.645 0.187
Bi: 0.528 0.355 0.313
Bi: 0.046 0.096 0.500
Bi: 0.528 0.355 0.687
Bi: 0.028 0.645 0.813
S: 0.109 0.933 0.000
S: 0.618 0.194 0.000
S: 0.092 0.324 0.233
S: 0.592 0.676 0.267
S: 0.118 0.806 0.500
S: 0.609 0.067 0.500
S: 0.592 0.676 0.733
S: 0.092 0.324 0.767

The space group is No. 31. For the uncorrected formation energy, the calculation gives -0.14 eV per atom.